[1]
Below is a relaxed structure of NdCoNi4, with properties calculated at the PBE level.

a b c (Å): 7.0360 3.7883 6.5377
angles (deg): 90.00 90.00 90.00
Space group Pmma (No. 51)
Symmetry-distinct sites (fractional):
Nd 0.2500 0.0000 0.1309
Co 0.2500 0.0000 0.7162
Ni 0.0000 0.0000 0.5000
Ni 0.0583 0.5000 0.7834
Ni 0.2500 0.5000 0.4716


[2]
Below is a relaxed structure of Nd2Co2Ni15, with properties calculated at the PBE level.

a b c (Å): 8.3560 8.3560 12.1902
angles (deg): 90.00 90.00 120.00
Space group R-3m (No. 166, hexagonal axes)
Symmetry-distinct sites (fractional):
Nd 0.0000 0.0000 0.1580
Co 0.0000 0.0000 0.4074
Ni 0.0000 0.2917 0.5000
Ni 0.0000 0.5000 0.0000
Ni 0.0049 0.5024 0.3439


[3]
Below is a relaxed structure of Nd4Co2Ni, with properties calculated at the PBE level.

a b c (Å): 13.2769 4.3117 7.1499
angles (deg): 90.00 121.22 90.00
Space group C2/m (No. 12)
Symmetry-distinct sites (fractional):
Nd 0.1124 0.0000 0.3144
Nd 0.1477 0.5000 0.7907
Co 0.2149 0.5000 0.2220
Ni 0.0000 0.5000 0.0000


[4]
Below is a relaxed structure of Nd12CoNi6, with properties calculated at the PBE level.

a b c (Å): 12.3278 12.3278 12.0465
angles (deg): 90.00 90.00 120.00
Space group R-3 (No. 148, hexagonal axes)
Symmetry-distinct sites (fractional):
Nd 0.0211 0.8114 0.3917
Nd 0.0350 0.8356 0.8813
Co 0.0000 0.0000 0.0000
Ni 0.0413 0.7778 0.6491


[5]
Below is a relaxed structure of Nd5Co2Ni, with properties calculated at the PBE level.

a b c (Å): 7.4533 7.4533 14.1817
angles (deg): 90.00 90.00 90.00
Space group I4/mcm (No. 140)
Symmetry-distinct sites (fractional):
Nd 0.0000 0.0000 0.0000
Nd 0.1764 0.3236 0.1407
Co 0.1111 0.3889 0.5000
Ni 0.0000 0.0000 0.2500


[6]
Below is a relaxed structure of Nd2CoNi2, with properties calculated at the PBE level.

a b c (Å): 8.8456 5.4618 7.9857
angles (deg): 90.00 102.80 90.00
Space group C2/c (No. 15)
Symmetry-distinct sites (fractional):
Nd 0.1545 0.1151 0.1556
Co 0.0000 0.3685 0.7500
Ni 0.1191 0.3815 0.5003


[7]
Below is a relaxed structure of Nd3CoNi3, with properties calculated at the PBE level.

a b c (Å): 10.5524 3.9642 14.4491
angles (deg): 90.00 107.91 90.00
Space group C2/m (No. 12)
Symmetry-distinct sites (fractional):
Nd 0.0484 0.0000 0.2717
Nd 0.1703 0.0000 0.5775
Nd 0.1844 0.5000 0.0968
Co 0.0959 0.5000 0.8723
Ni 0.0377 0.5000 0.4244
Ni 0.0495 0.0000 0.9382
Ni 0.1621 0.5000 0.7304


[8]
Below is a relaxed structure of Nd2CoNi12P3, with properties calculated at the PBE level.

a b c (Å): 7.7250 7.7250 16.3560
angles (deg): 90.00 90.00 120.00
Space group R-3m (No. 166, hexagonal axes)
Symmetry-distinct sites (fractional):
Nd 0.0000 0.0000 0.1146
Co 0.0000 0.0000 0.5000
Ni 0.0091 0.5045 0.1274
Ni 0.0410 0.5205 0.3579
P 0.0000 0.5000 0.0000


Number 1: E_form -0.70 kcal/mol of atoms, E_tot -70.4 eV for the cell shown, size of the total moment 0.48 μB/atom. Number 2: E_form -3.45 kcal/mol of atoms, E_tot -339.9 eV for the cell shown, size of the total moment 0.51 μB/atom. Number 3: E_form -1.71 kcal/mol of atoms, E_tot -79.2 eV for the cell shown, size of the total moment 0.00 μB/atom. Number 4: E_form -2.44 kcal/mol of atoms, E_tot -303.1 eV for the cell shown, size of the total moment 0.00 μB/atom. Number 5: E_form -1.82 kcal/mol of atoms, E_tot -177.9 eV for the cell shown, size of the total moment 0.00 μB/atom. Number 6: E_form -4.35 kcal/mol of atoms, E_tot -116.6 eV for the cell shown, size of the total moment 0.12 μB/atom. Number 7: E_form -5.55 kcal/mol of atoms, E_tot -161.7 eV for the cell shown, size of the total moment 0.00 μB/atom. Number 8: E_form 0.14 kcal/mol of atoms, E_tot -306.4 eV for the cell shown, size of the total moment 0.14 μB/atom.